# 1
The following is a DFT calculation (GGA-PBE) of OsSN2F after structural relaxation.

The structure belongs to space group P4/mmm (No. 123); the cell edges are 3.8781, 3.8781 and 4.0738 Å and the angles 90.00°, 90.00° and 90.00°. The asymmetric unit holds Os at (0.0000, 0.0000, 0.0000), S at (0.5000, 0.5000, 0.5000), N at (0.0000, 0.5000, 0.0000) and F at (0.0000, 0.0000, 0.5000).

Its uncorrected formation energy is 0.824 eV per atom. For the offset from the most stable computed form, the calculation gives 0.94 eV/f.u.



# 2
The following is a DFT calculation (GGA-PBE) of NdSc4Pt3O12 after structural relaxation.

The structure belongs to space group Im-3 (No. 204); the cell edges are 7.8655, 7.8655 and 7.8655 Å and the angles 90.00°, 90.00° and 90.00°. The asymmetric unit holds Nd at (0.0000, 0.0000, 0.0000), Sc at (0.2500, 0.2500, 0.2500), Pt at (0.0000, 0.0000, 0.5000) and O at (0.0000, 0.3021, 0.1645).

Its uncorrected formation energy is -2.246 eV per atom.



# 3
The following is a DFT calculation (GGA-PBE) of Mg2HOs after structural relaxation.

The structure belongs to space group P-1 (No. 2); the cell edges are 4.6832, 5.4932 and 5.5110 Å and the angles 62.12°, 65.00° and 65.16°. The asymmetric unit holds Mg at (0.0427, 0.2218, 0.1959), Mg at (0.3222, 0.2553, 0.6016), H at (0.1792, 0.7442, 0.3949) and Os at (0.3585, 0.7145, 0.0661).

For the offset from the most stable computed form, the calculation gives 0.00 eV/f.u.



# 4
The following is a DFT calculation (GGA-PBE) of CeTmSn6 after structural relaxation.

The structure belongs to space group P4/mmm (No. 123); the cell edges are 4.7230, 4.7230 and 9.3548 Å and the angles 90.00°, 90.00° and 90.00°. The asymmetric unit holds Ce at (0.0000, 0.0000, 0.0000), Tm at (0.0000, 0.0000, 0.5000), Sn at (0.0000, 0.5000, 0.2536), Sn at (0.5000, 0.5000, 0.0000) and Sn at (0.5000, 0.5000, 0.5000).

The formation energy is -43.3 kJ per mole of atoms.



# 5
The following is a DFT calculation (GGA-PBE) of Ac4Tl2Os after structural relaxation.

The structure belongs to space group C2/m (No. 12); the cell edges are 13.8107, 4.4712 and 9.8026 Å and the angles 90.00°, 122.06° and 90.00°. The asymmetric unit holds Ac at (0.0846, 0.0000, 0.3472), Ac at (0.1569, 0.5000, 0.0537), Tl at (0.1326, 0.5000, 0.6569) and Os at (0.0000, 0.0000, 0.0000).

The formation energy is -20.9 kJ per mole of atoms.



# 6
The following is a DFT calculation (GGA-PBE) of FeCuTcBr2 after structural relaxation.

The structure belongs to space group P4/mmm (No. 123); the cell edges are 4.8311, 4.8311 and 4.6817 Å and the angles 90.00°, 90.00° and 90.00°. The asymmetric unit holds Fe at (0.0000, 0.0000, 0.0000), Cu at (0.0000, 0.0000, 0.5000), Tc at (0.5000, 0.5000, 0.5000) and Br at (0.0000, 0.5000, 0.0000).

Its uncorrected formation energy is 1.159 eV per atom.



# 7
The following is a DFT calculation (GGA-PBE) of Np2BeP3Ir4 after structural relaxation.

The structure belongs to space group P-4m2 (No. 115); the cell edges are 4.0330, 4.0330 and 9.7735 Å and the angles 90.00°, 90.00° and 90.00°. The asymmetric unit holds Np at (0.0000, 0.5000, 0.2372), Be at (0.5000, 0.5000, 0.0000), P at (0.0000, 0.0000, 0.0000), P at (0.0000, 0.5000, 0.6400), Ir at (0.0000, 0.0000, 0.5000), Ir at (0.0000, 0.5000, 0.8781) and Ir at (0.5000, 0.5000, 0.5000).

The formation energy is -63.5 kJ per mole of atoms.



# 8
The following is a DFT calculation (GGA-PBE) of Zr2CrCl after structural relaxation.

The structure belongs to space group I4/mmm (No. 139); the cell edges are 4.4536, 4.4536 and 7.7945 Å and the angles 90.00°, 90.00° and 90.00°. The asymmetric unit holds Zr at (0.0000, 0.5000, 0.2500), Cr at (0.0000, 0.0000, 0.0000) and Cl at (0.0000, 0.0000, 0.5000).

Its uncorrected formation energy is 0.295 eV per atom. For the offset from the most stable computed form, the calculation gives 2.78 eV/f.u.



# 9
The following is a DFT calculation (GGA-PBE) of LiDy2AgTe4 after structural relaxation.

The structure belongs to space group P2/m (No. 10); the cell edges are 7.5107, 4.3739 and 7.5636 Å and the angles 90.00°, 109.96° and 90.00°. The asymmetric unit holds Li at (0.0000, 0.0000, 0.0000), Dy at (0.5000, 0.0000, 0.5000), Dy at (0.5000, 0.5000, 0.0000), Ag at (0.0000, 0.5000, 0.5000), Te at (0.2458, 0.0000, 0.7486) and Te at (0.2467, 0.5000, 0.2463).

Its uncorrected formation energy is -1.060 eV per atom.



# 10
The following is a DFT calculation (GGA-PBE) of Na3AlFe after structural relaxation.

The structure belongs to space group Pm-3m (No. 221); the cell edges are 5.6465, 5.6465 and 5.6465 Å and the angles 90.00°, 90.00° and 90.00°. The asymmetric unit holds Na at (0.0000, 0.0000, 0.5000), Al at (0.0000, 0.0000, 0.0000) and Fe at (0.5000, 0.5000, 0.5000).

For the offset from the most stable computed form, the calculation gives 0.35 eV/f.u. The formation energy is 105.9 kJ per mole of atoms.



# 11
The following is a DFT calculation (GGA-PBE) of BPOs2Pb after structural relaxation.

The structure belongs to space group P4/mmm (No. 123); the cell edges are 5.1076, 5.1076 and 5.0807 Å and the angles 90.00°, 90.00° and 90.00°. The asymmetric unit holds B at (0.0000, 0.0000, 0.0000), P at (0.5000, 0.5000, 0.0000), Os at (0.0000, 0.5000, 0.5000) and Pb at (0.5000, 0.5000, 0.5000).

The formation energy is 338.1 kJ per mole of atoms.



# 12
The following is a DFT calculation (GGA-PBE) of Pa4Ge2Te5 after structural relaxation.

The structure belongs to space group C2/m (No. 12); the cell edges are 20.5286, 4.1810 and 8.2886 Å and the angles 90.00°, 99.35° and 90.00°. The asymmetric unit holds Pa at (0.0041, 0.0000, 0.2218), Pa at (0.1934, 0.5000, 0.0911), Ge at (0.0573, 0.5000, 0.0143), Te at (0.0000, 0.5000, 0.5000), Te at (0.1581, 0.0000, 0.7998) and Te at (0.1587, 0.0000, 0.3348).

Its uncorrected formation energy is -0.586 eV per atom.



What is the formula in the first record?
OsSN2F



Which formula does entry 1 have?
OsSN2F